Record 1
MgHgRh3: relaxed, PBE.

Cell and atoms, written as POSCAR:
```
MgHgRh3
1.0
-1.4196 -4.2646 0.6242
2.5970 -0.3218 3.7072
-3.4397 1.5170 2.5413
Hg Rh Mg
1 3 1
Cartesian
-1.1311 -1.5347 3.4364
-0.7098 -2.1323 0.3121
1.2985 -0.1609 1.8536
-1.7199 0.7585 1.2707
0.0000 0.0000 0.0000
```

Space-group type: Pm-3m (221)
Energy of formation from the pure elements, meV/atom: 954
Total moment, Bohr magnetons per cell: 0.97
D(E_F), states/eV/f.u.: 7.7
Relative energy among the computed polymorphs, meV per atom: 0
Volume, Å³ per cell: 93.4



Record 2
BaTlCdAg: relaxed, PBE.

Cell and atoms, written as POSCAR:
```
BaTlCdAg
1.0
5.5239 0.0000 0.0000
2.7620 4.7839 0.0000
2.7620 1.5946 4.5103
Cd Ba Tl Ag
1 1 1 1
Cartesian
8.2859 4.7839 3.3827
5.5239 3.1893 2.2551
0.0000 0.0000 0.0000
2.7620 1.5946 1.1276
```

Space-group type: F-43m (216)
Energy of formation from the pure elements, meV/atom: -176
Total moment, Bohr magnetons per cell: 0.00
D(E_F), states/eV/f.u.: 4.4
Volume, Å³ per cell: 119.2



Record 3
Co2ReNi: relaxed, PBE.

Cell and atoms, written as POSCAR:
```
Co2ReNi
1.0
2.9803 0.0000 0.0000
0.0000 2.9803 0.0000
0.0000 0.0000 5.3317
Co Re Ni
2 1 1
Cartesian
0.0000 0.0000 0.0999
0.0000 0.0000 2.5660
1.4901 1.4901 3.9988
1.4901 1.4901 1.3329
```

Space-group type: P4/mmm (123)
Energy of formation from the pure elements, meV/atom: 155
Total moment, Bohr magnetons per cell: 2.72
D(E_F), states/eV/f.u.: 5.0
Relative energy among the computed polymorphs, meV per atom: 144
Volume, Å³ per cell: 47.4